A geometry-optimized NdIn5 structure. Source: Alexandria, functional PBE-GGA.

a b c (Å): 6.1736 5.8431 5.7704
angles (deg): 78.83 122.34 111.24
Element x y z (fractional)
In1 0.3124 0.0000 0.6247
In2 0.4722 0.5000 0.9443
In3 0.8003 0.5000 0.6006
In4 0.6322 0.0000 0.2644
Nd1 0.9723 0.0000 0.9446
In5 0.1440 0.5000 0.2881

Properties
- Energy above the lowest structure with this stoichiometry: 66 meV per atom
- E_form: -175.1 meV/atom
- Uncorrected energy: -3.25 eV per atom
- Symmetry: C2/m (12)
- Density of states at the Fermi level: 0.64 states/eV per atom